Model A:
CaTeAuSe | Alexandria | PBE | optimized geometry; volume = 114.9 Å³/cell; density of states at the Fermi level = 1.5 states/eV/cell
1.0
-1.686 -3.736 -0.752
3.705 -1.518 -0.765
1.004 -0.913 6.676
Au Te Se Ca
1 1 1 1
direct
0.684 0.500 0.522
0.367 0.000 0.329
0.919 0.500 0.886
0.404 0.000 0.841

Model B:
CaTeAuSe | Alexandria | PBE | optimized geometry; volume = 249.2 Å³/cell; density of states at the Fermi level = 5.1 states/eV/cell
1.0
-5.382 4.801 0.053
-2.648 -2.953 -1.407
0.732 -4.330 7.711
Te Au Se Ca
2 2 2 2
direct
0.086 0.000 0.209
0.086 0.500 0.709
0.294 0.500 0.175
0.294 0.000 0.675
0.647 0.000 0.687
0.647 0.500 0.187
0.792 0.000 0.422
0.792 0.500 0.922

Going by the computed energies, the most stable comes first: model A, model B.